First-principles (PBE) data for a relaxed Tl2P2Pd crystal, as listed in Alexandria.

Unit cell a=6.114 b=6.114 c=5.894 alpha=90.00 beta=90.00 gamma=90.00
Sites, in units of the cell vectors:
Pd (0.000, 0.000, 0.000)
Pd (0.500, 0.500, 0.000)
Tl (0.813, 0.313, 0.500)
Tl (0.187, 0.687, 0.500)
Tl (0.687, 0.813, 0.500)
Tl (0.313, 0.187, 0.500)
P (0.126, 0.374, 0.000)
P (0.626, 0.126, 0.000)
P (0.374, 0.874, 0.000)
P (0.874, 0.626, 0.000)

Properties
The volume comes out at 220.4 Å³/cell. The calculation puts the total energy at -42.44 eV for the cell shown.